{"formula": "ZrAlAg", "functional": "GGA-PBEsol", "state": "relaxed", "volume_a3_per_cell": 54, "formation_enthalpy_0k_ev_per_atom": -0.329, "lattice": [[3.114, 0.000, 0.000], [0.000, 4.486, 0.000], [0.000, -2.243, 3.885]], "species": ["Zr", "Ag", "Al"], "fractional_positions": [[0.500, 0.667, 0.333], [0.000, 0.000, 0.000], [0.000, 0.333, 0.667]]}